# 1
This record from Alexandria via LeMat-Bulk describes Sr2Hg2Bi after structural relaxation. The functional is PBE-GGA.

Cell lengths 8.4273, 8.4273, 6.7812 Å; angles 42.94, 42.94, 35.00 degrees
Closest atoms and distances in Å follow each position.
Fractional positions:
Sr 0.6982 0.6982 0.8170  5 Hg 3.28-3.64, 3 Bi 3.47-3.60
Sr 0.3018 0.3018 0.1830  5 Hg 3.28-3.64, 3 Bi 3.47-3.60
Bi 0.0000 0.0000 0.0000  6 Sr 3.47-3.60, 4 Hg 3.60
Hg 0.6056 0.6056 0.4676  1 Hg 3.07, 4 Sr 3.28-3.40
Hg 0.3944 0.3944 0.5324  1 Hg 3.07, 4 Sr 3.28-3.40

## Properties
The value obtained for the energy relative to the elements is -531 meV per atom.

---

# 2
This record from Alexandria via LeMat-Bulk describes Sr6Hg5Bi after structural relaxation. The functional is PBE-GGA.

Cell lengths 5.6994, 9.9066, 9.9066 Å; angles 120.21, 106.76, 106.76 degrees
Closest atoms and distances in Å follow each position.
Fractional positions:
Hg 0.5000 0.1705 0.8295  8 Sr 3.42-3.57
Hg 0.5000 0.5000 0.5000  8 Sr 3.47-3.51
Hg 0.0000 0.6650 0.3350  8 Sr 3.46-3.52
Hg 0.0000 0.3350 0.6650  8 Sr 3.46-3.52
Hg 0.5000 0.8295 0.1705  8 Sr 3.42-3.57
Sr 0.7481 0.9158 0.5804  7 Hg 3.42-3.52, 1 Bi 3.52
Sr 0.7481 0.5804 0.9158  7 Hg 3.42-3.52, 1 Bi 3.52
Sr 0.7539 0.2537 0.2537  6 Hg 3.46-3.57, 2 Bi 3.51
Sr 0.2519 0.4196 0.0842  7 Hg 3.42-3.52, 1 Bi 3.52
Bi 0.0000 0.0000 0.0000  8 Sr 3.51-3.52
Sr 0.2461 0.7463 0.7463  6 Hg 3.46-3.57, 2 Bi 3.51
Sr 0.2519 0.0842 0.4196  7 Hg 3.42-3.52, 1 Bi 3.52

## Properties
The value obtained for the energy relative to the elements is -607 meV per atom.

---

# 3
This record from Alexandria via LeMat-Bulk describes Sr2HgBi2 after structural relaxation. The functional is PBE-GGA.

Cell lengths 8.7893, 8.4960, 9.7106 Å; angles 90.00, 90.00, 90.00 degrees
Closest atoms and distances in Å follow each position.
Fractional positions:
Sr 0.0000 0.7501 0.3613  4 Bi 3.50-3.51, 4 Hg 3.57-3.62
Bi 0.2498 0.0790 0.8770  1 Hg 2.92
Bi 0.7498 0.4210 0.8770  1 Hg 2.92
Sr 0.5000 0.7499 0.3613  4 Bi 3.50-3.51, 4 Hg 3.57-3.62
Sr 0.0000 0.2499 0.6387  4 Bi 3.50-3.51, 4 Hg 3.57-3.62
Sr 0.9999 0.2502 0.1045  6 Bi 3.44-3.56, 2 Hg 3.77
Sr 0.0001 0.7498 0.8955  6 Bi 3.44-3.56, 2 Hg 3.77
Bi 0.2502 0.5790 0.1230  1 Hg 2.92
Hg 0.2497 0.4134 0.3862  3 Bi 2.92-2.96
Sr 0.4999 0.2498 0.1045  6 Bi 3.44-3.56, 2 Hg 3.77
Bi 0.2500 0.5705 0.6581  2 Hg 2.95-2.96
Hg 0.2503 0.9134 0.6138  3 Bi 2.92-2.96
Bi 0.7502 0.9210 0.1230  1 Hg 2.92
Hg 0.7503 0.5866 0.6138  3 Bi 2.92-2.96
Sr 0.5001 0.7502 0.8955  6 Bi 3.44-3.56, 2 Hg 3.77
Bi 0.7500 0.9295 0.6581  2 Hg 2.95-2.96
Hg 0.7497 0.0866 0.3862  3 Bi 2.92-2.96
Bi 0.7500 0.4295 0.3419  2 Hg 2.95-2.96
Sr 0.5000 0.2501 0.6387  4 Bi 3.50-3.51, 4 Hg 3.57-3.62
Bi 0.2500 0.0705 0.3419  2 Hg 2.95-2.96

## Properties
The value obtained for the energy relative to the elements is -679 meV per atom.